CeSi2Rh3: PBEsol geometry, SCAN.

Unit cell a=6.5698 b=6.5698 c=6.5698 alpha=114.68 beta=86.42 gamma=130.16
Closest atoms and distances in Å follow each position.
Fractional coordinates of all 12 atoms:
Ce1 0.4590 0.2090 0.2500  6 Rh 3.06-3.10, 6 Si 3.13-3.30
Ce2 0.5410 0.7910 0.7500  6 Rh 3.06-3.10, 6 Si 3.13-3.30
Si1 0.1123 0.6919 0.4204  6 Rh 2.40-2.43, 1 Si 2.62
Si2 0.2284 0.3081 0.9204  6 Rh 2.40-2.43, 1 Si 2.62
Si3 0.7716 0.6919 0.0796  6 Rh 2.40-2.43, 1 Si 2.62
Si4 0.8877 0.3081 0.5796  6 Rh 2.40-2.43, 1 Si 2.62
Rh1 0.0000 0.0000 0.5000  4 Si 2.43
Rh2 0.0000 0.2129 0.2129  4 Si 2.40-2.42
Rh3 0.0000 0.5000 0.0000  4 Si 2.43
Rh4 0.0000 0.7871 0.7871  4 Si 2.40-2.42
Rh5 0.5000 0.2129 0.7129  4 Si 2.40-2.42
Rh6 0.5000 0.7871 0.2871  4 Si 2.40-2.42

Computed properties:
Crystal system   orthorhombic
Formation energy (no corrections)   -6.9 eV/f.u.